1.
Density functional theory data (PBE-GGA) for crystalline Ta2TcBr at its relaxed geometry.

a b c (Å): 5.431 5.431 4.587
angles (deg): 106.10 106.10 33.62
Fractional coordinates of all 4 atoms:
Ta1 0.000 0.000 0.000
Ta2 0.227 0.227 0.676
Tc1 0.716 0.716 0.121
Br1 0.438 0.438 0.452

Results
space group = Cm (8)
energy relative to the lowest polymorph listed for this composition = 0.389 eV/atom
ΔE_f (raw) = 0.452 eV/atom
raw total energy = -8.48 eV/atom

2.
Density functional theory data (PBE-GGA) for crystalline Ba4Pa3HgO12 at its relaxed geometry.

a b c (Å): 7.847 7.847 7.847
angles (deg): 109.47 109.47 109.47
Fractional coordinates of all 20 atoms:
Ba1 0.000 0.000 0.500
Ba2 0.000 0.500 0.000
Ba3 0.500 0.000 0.000
Ba4 0.500 0.500 0.500
Pa1 0.000 0.500 0.500
Pa2 0.500 0.000 0.500
Pa3 0.500 0.500 0.000
Hg1 0.000 0.000 0.000
O1 0.000 0.276 0.276
O2 0.000 0.724 0.724
O3 0.250 0.500 0.750
O4 0.250 0.750 0.500
O5 0.276 0.000 0.276
O6 0.276 0.276 0.000
O7 0.500 0.250 0.750
O8 0.500 0.750 0.250
O9 0.724 0.000 0.724
O10 0.724 0.724 0.000
O11 0.750 0.250 0.500
O12 0.750 0.500 0.250

Results
space group = Im-3m (229)
ΔE_f (raw) = -2.954 eV/atom
raw total energy = -7.75 eV/atom